No. 1
Compound: Li2TePb
Source: Alexandria via LeMat-Bulk
Functional: PBE
Structure: relaxed

Unit cell a=6.698 b=6.698 c=6.698 alpha=37.90 beta=37.90 gamma=37.90
Atoms (fractional coordinates):
Li 0.000 0.000 0.000
Li 0.209 0.209 0.209
Te 0.603 0.603 0.603
Pb 0.438 0.438 0.438

Calculated values
ΔE to the lowest computed polymorph	0.000	eV per atom
density	5.69	g/cm³
E_form (uncorrected)	-50	kJ per mole of atoms

---

No. 2
Compound: In5GaPb2
Source: Alexandria via LeMat-Bulk
Functional: PBE
Structure: relaxed

Unit cell a=8.260 b=15.185 c=3.500 alpha=90.00 beta=90.00 gamma=90.00
Atoms (fractional coordinates):
In 0.000 0.000 0.000
In 0.010 0.234 0.000
In 0.220 0.621 0.500
In 0.280 0.121 0.500
In 0.490 0.734 0.000
In 0.500 0.500 0.000
In 0.510 0.266 0.000
In 0.720 0.879 0.500
In 0.780 0.379 0.500
In 0.990 0.766 0.000
Ga 0.000 0.500 0.000
Ga 0.500 0.000 0.000
Pb 0.230 0.380 0.500
Pb 0.270 0.880 0.500
Pb 0.730 0.120 0.500
Pb 0.770 0.620 0.500

Calculated values
density	8.01	g/cm³
formation energy	0.273	eV per formula unit

---

No. 3
Compound: Sr3SeO
Source: Alexandria via LeMat-Bulk
Functional: PBE
Structure: relaxed

Unit cell a=5.149 b=5.149 c=5.149 alpha=90.00 beta=90.00 gamma=90.00
Atoms (fractional coordinates):
Sr 0.000 0.000 0.500
Sr 0.000 0.500 0.000
Sr 0.500 0.000 0.000
Se 0.500 0.500 0.500
O 0.000 0.000 0.000

Calculated values
ΔE to the lowest computed polymorph	0.000	eV per atom
density	4.35	g/cm³
E_form (uncorrected)	-139	kJ per mole of atoms

---

No. 4
Compound: TaInAs2Br
Source: Alexandria via LeMat-Bulk
Functional: PBE
Structure: relaxed

Unit cell a=5.130 b=5.130 c=5.230 alpha=90.00 beta=90.00 gamma=90.00
Atoms (fractional coordinates):
Ta 0.000 0.000 0.000
In 0.500 0.500 0.500
As 0.000 0.500 0.500
As 0.500 0.000 0.500
Br 0.500 0.500 0.000

Calculated values
ΔE to the lowest computed polymorph	1.302	eV per atom
density	6.34	g/cm³
E_form (uncorrected)	127	kJ per mole of atoms

---

No. 5
Compound: LiTlZnCd
Source: Alexandria via LeMat-Bulk
Functional: PBE
Structure: relaxed

Unit cell a=4.858 b=4.858 c=4.858 alpha=60.00 beta=60.00 gamma=60.00
Atoms (fractional coordinates):
Li 0.000 0.000 0.000
Tl 0.750 0.750 0.750
Zn 0.500 0.500 0.500
Cd 0.250 0.250 0.250

Calculated values
density	7.97	g/cm³
formation energy	-0.229	eV per formula unit

---

No. 6
Compound: NaPuSn
Source: Alexandria via LeMat-Bulk
Functional: PBE
Structure: relaxed

Unit cell a=14.763 b=14.763 c=14.763 alpha=13.76 beta=13.76 gamma=13.76
Atoms (fractional coordinates):
Na 0.131 0.131 0.131
Na 0.869 0.869 0.869
Pu 0.320 0.320 0.320
Pu 0.680 0.680 0.680
Sn 0.405 0.405 0.405
Sn 0.595 0.595 0.595

Calculated values
density	8.09	g/cm³
formation energy	-0.037	eV per formula unit

---

No. 7
Compound: LiInSb
Source: Alexandria via LeMat-Bulk
Functional: PBE
Structure: relaxed

Unit cell a=4.766 b=4.766 c=7.912 alpha=90.00 beta=90.00 gamma=120.00
Atoms (fractional coordinates):
Li 0.000 0.000 0.000
Li 0.333 0.667 0.208
In 0.000 0.000 0.389
In 0.667 0.333 0.744
Sb 0.333 0.667 0.597
Sb 0.667 0.333 0.113

Calculated values
ΔE to the lowest computed polymorph	0.000	eV per atom
density	5.20	g/cm³
E_form (uncorrected)	-27	kJ per mole of atoms